Run one
The following is a DFT calculation (PBE-GGA) of a geometry-optimized DyHfNO structure.

a b c (Å): 4.162 4.162 8.059
angles (deg): 90.00 90.00 90.00
Element x y z (fractional)
Dy (0.250, 0.250, 0.116)
Dy (0.750, 0.750, 0.884)
Hf (0.750, 0.250, 0.500)
Hf (0.250, 0.750, 0.500)
N (0.750, 0.750, 0.444)
N (0.250, 0.250, 0.556)
O (0.750, 0.250, 0.000)
O (0.250, 0.750, 0.000)

=====

Run two
The following is a DFT calculation (PBE-GGA) of a geometry-optimized DyHfNO structure.

a b c (Å): 6.546 7.755 4.646
angles (deg): 90.00 90.00 90.00
Element x y z (fractional)
Dy (0.554, 0.378, 0.050)
Dy (0.054, 0.622, 0.050)
Dy (0.946, 0.378, 0.550)
Dy (0.446, 0.622, 0.550)
Hf (0.095, 0.127, 0.051)
Hf (0.595, 0.873, 0.051)
Hf (0.405, 0.127, 0.551)
Hf (0.905, 0.873, 0.551)
N (0.420, 0.101, 0.051)
N (0.920, 0.899, 0.051)
N (0.080, 0.101, 0.551)
N (0.580, 0.899, 0.551)
O (0.901, 0.343, 0.050)
O (0.401, 0.657, 0.050)
O (0.599, 0.343, 0.550)
O (0.099, 0.657, 0.550)

=====

Run three
The following is a DFT calculation (PBE-GGA) of a geometry-optimized DyHfNO structure.

a b c (Å): 6.204 8.011 4.804
angles (deg): 90.00 90.00 90.00
Element x y z (fractional)
Dy (0.076, 0.136, 0.050)
Dy (0.576, 0.864, 0.050)
Dy (0.424, 0.136, 0.550)
Dy (0.924, 0.864, 0.550)
Hf (0.550, 0.390, 0.051)
Hf (0.050, 0.610, 0.051)
Hf (0.950, 0.390, 0.551)
Hf (0.450, 0.610, 0.551)
N (0.452, 0.138, 0.051)
N (0.952, 0.862, 0.051)
N (0.048, 0.138, 0.551)
N (0.548, 0.862, 0.551)
O (0.886, 0.370, 0.051)
O (0.386, 0.630, 0.051)
O (0.614, 0.370, 0.551)
O (0.114, 0.630, 0.551)

=====

Which one sits at the top of the stability order? run two does.